*w*
## La2TbHo2 (PBE-GGA)

Data for a relaxed La2TbHo2 crystal.

Unit cell a=10.6110 b=10.6110 c=8.1574 alpha=130.57 beta=130.57 gamma=90.00
Element x y z (fractional)
Ho 0.3102 0.8102 0.0000
Ho 0.6898 0.1898 0.0000
Ho 0.8102 0.6898 0.0000
Ho 0.1898 0.3102 0.0000
La 0.1098 0.6098 0.0000
La 0.6098 0.8902 0.0000
La 0.3902 0.1098 0.0000
La 0.8902 0.3902 0.0000
Tb 0.7500 0.7500 0.5000
Tb 0.2500 0.2500 0.5000

For the spin magnetization, the calculation gives 0.00 Bohr magnetons per cell. As for the density: 7.1 g cm⁻³.



*x*
## La2TbHo2 (PBE-GGA)

Data for a relaxed La2TbHo2 crystal.

Unit cell a=8.9344 b=6.5434 c=6.5434 alpha=95.24 beta=105.29 gamma=105.29
Element x y z (fractional)
Ho 0.5000 0.5000 0.0000
Ho 0.0000 0.5000 0.5000
Ho 0.0000 0.0000 0.5000
Ho 0.5000 0.5000 0.5000
La 0.3603 0.9272 0.7519
La 0.6397 0.0728 0.2481
La 0.8603 0.7519 0.9272
La 0.1397 0.2481 0.0728
Tb 0.2500 0.7931 0.2069
Tb 0.7500 0.2069 0.7931

For the spin magnetization, the calculation gives 0.00 Bohr magnetons per cell. As for the density: 7.3 g cm⁻³.



Computed stability ranking, most favorable first: *x*, *w*



*w*
## La4TbHo4 (PBE-GGA)

Data for a relaxed La4TbHo4 crystal.

Unit cell a=5.1447 b=8.1008 c=8.1008 alpha=84.21 beta=71.49 gamma=71.49
Element x y z (fractional)
Ho 0.3367 0.6634 0.6633
Ho 0.6633 0.3366 0.3367
Ho 0.0000 0.6633 0.3366
Ho 0.0000 0.3367 0.6634
La 0.6668 0.0002 0.6663
La 0.6669 0.6663 0.9998
La 0.3331 0.3337 0.0002
La 0.3332 0.9998 0.3337
Tb 0.0000 0.0000 0.0000

For the spin magnetization, the calculation gives 0.00 Bohr magnetons per cell. As for the density: 7.5 g cm⁻³.



*x*
## La4TbHo4 (PBE-GGA)

Data for a relaxed La4TbHo4 crystal.

Unit cell a=6.1069 b=6.1069 c=10.7085 alpha=106.57 beta=106.57 gamma=90.00
Element x y z (fractional)
Ho 0.5240 0.8847 0.4087
Ho 0.4760 0.4760 0.5913
Ho 0.1153 0.1153 0.5913
Ho 0.8847 0.5240 0.4087
La 0.8565 0.8565 0.7130
La 0.1435 0.1435 0.2870
La 0.0000 0.5000 0.0000
La 0.5000 0.0000 0.0000
Tb 0.0000 0.0000 0.0000

For the spin magnetization, the calculation gives 0.00 Bohr magnetons per cell. As for the density: 6.2 g cm⁻³.



Computed stability ranking, most favorable first: *w*, *x*



*w*
## La6TbHo12 (PBE-GGA)

Data for a relaxed La6TbHo12 crystal.

Unit cell a=8.7925 b=8.7925 c=8.7925 alpha=98.72 beta=98.72 gamma=98.72
Element x y z (fractional)
Tb 0.0000 0.0000 0.0000
Ho 0.3548 0.0802 0.3548
Ho 0.9198 0.6452 0.6452
Ho 0.3548 0.3548 0.0802
Ho 0.2458 0.7542 0.5000
Ho 0.7542 0.2458 0.5000
Ho 0.5000 0.7542 0.2458
Ho 0.0802 0.3548 0.3548
Ho 0.7542 0.5000 0.2458
Ho 0.2458 0.5000 0.7542
Ho 0.5000 0.2458 0.7542
Ho 0.6452 0.6452 0.9198
Ho 0.6452 0.9198 0.6452
La 0.0955 0.6541 0.0955
La 0.6541 0.0955 0.0955
La 0.9045 0.3459 0.9045
La 0.9045 0.9045 0.3459
La 0.0955 0.0955 0.6541
La 0.3459 0.9045 0.9045

For the spin magnetization, the calculation gives 0.00 Bohr magnetons per cell. As for the density: 7.6 g cm⁻³.



*x*
## La6TbHo12 (PBE-GGA)

Data for a relaxed La6TbHo12 crystal.

Unit cell a=8.7456 b=8.7456 c=8.7456 alpha=79.17 beta=79.17 gamma=79.17
Element x y z (fractional)
Ho 0.1395 0.4845 0.1396
Ho 0.1396 0.1395 0.4845
Ho 0.4872 0.8047 0.4875
Ho 0.8605 0.5155 0.8604
Ho 0.4845 0.1396 0.1395
Ho 0.5125 0.5128 0.1953
Ho 0.8604 0.8605 0.5155
Ho 0.5155 0.8604 0.8605
Ho 0.8047 0.4875 0.4872
Ho 0.1953 0.5125 0.5128
Ho 0.5128 0.1953 0.5125
Ho 0.4875 0.4872 0.8047
La 0.8357 0.2332 0.2329
La 0.7668 0.7671 0.1643
La 0.1643 0.7668 0.7671
La 0.2329 0.8357 0.2332
La 0.2332 0.2329 0.8357
La 0.7671 0.1643 0.7668
Tb 0.0000 0.0000 0.0000

For the spin magnetization, the calculation gives 0.00 Bohr magnetons per cell. As for the density: 7.7 g cm⁻³.



Computed stability ranking, most favorable first: *x*, *w*



*w*
## La7TbHo3 (PBE-GGA)

Data for a relaxed La7TbHo3 crystal.

Unit cell a=9.4977 b=9.8425 c=14.6350 alpha=121.86 beta=63.31 gamma=137.84
Element x y z (fractional)
La 0.4237 0.8511 0.1058
La 0.1235 0.3316 0.8945
La 0.3295 0.2167 0.1988
La 0.6765 0.1526 0.3481
La 0.4927 0.8777 0.5322
La 0.2257 0.9720 0.8035
La 0.1353 0.9351 0.3781
La 0.0352 0.6942 0.9853
La 0.9571 0.6660 0.5624
La 0.4017 0.2421 0.6194
La 0.0578 0.3039 0.4706
La 0.6891 0.7542 0.8327
La 0.7580 0.7843 0.2550
La 0.5973 0.1233 0.9231
Tb 0.5045 0.4862 0.0150
Tb 0.5881 0.5188 0.4409
Ho 0.9523 0.0661 0.0762
Ho 0.3094 0.6024 0.7109
Ho 0.8630 0.4250 0.1664
Ho 0.8671 0.0309 0.6526
Ho 0.7851 0.3968 0.7433
Ho 0.2275 0.5689 0.2854

For the spin magnetization, the calculation gives 0.00 Bohr magnetons per cell. As for the density: 7.0 g cm⁻³.



*x*
## La7TbHo3 (PBE-GGA)

Data for a relaxed La7TbHo3 crystal.

Unit cell a=6.0082 b=8.6710 c=8.6710 alpha=84.19 beta=110.26 gamma=110.26
Element x y z (fractional)
Ho 0.0000 0.2049 0.7951
Ho 0.5000 0.0000 0.0000
Ho 0.0000 0.7951 0.2049
La 0.3064 0.0182 0.5947
La 0.6936 0.9818 0.4053
La 0.6936 0.4053 0.9818
La 0.7902 0.7905 0.7905
La 0.2098 0.2095 0.2095
La 0.3064 0.5947 0.0182
La 0.0000 0.5000 0.5000
Tb 0.5000 0.5000 0.5000

For the spin magnetization, the calculation gives 0.00 Bohr magnetons per cell. As for the density: 6.8 g cm⁻³.



Computed stability ranking, most favorable first: *w*, *x*



*w*
## La2TbHo7 (PBE-GGA)

Data for a relaxed La2TbHo7 crystal.

Unit cell a=3.5158 b=14.8281 c=14.8282 alpha=154.52 beta=90.00 gamma=90.00
Element x y z (fractional)
Ho 0.5000 0.3423 0.1481
Ho 0.5000 0.8519 0.6577
Ho 0.5000 0.1481 0.3423
Ho 0.0000 0.8165 0.1835
Ho 0.5000 0.6577 0.8519
Ho 0.0000 0.1835 0.8165
Ho 0.5000 0.5000 0.5000
La 0.5000 0.2933 0.7067
La 0.5000 0.7067 0.2933
Tb 0.0000 0.0000 0.0000

For the spin magnetization, the calculation gives 0.00 Bohr magnetons per cell. As for the density: 7.9 g cm⁻³.



*x*
## La2TbHo7 (PBE-GGA)

Data for a relaxed La2TbHo7 crystal.

Unit cell a=6.1890 b=9.4658 c=9.4701 alpha=141.94 beta=109.09 gamma=77.42
Element x y z (fractional)
Ho 0.5000 0.5000 0.0000
Ho 0.4997 0.3007 0.2015
Ho 0.0005 0.4030 0.6024
Ho 0.9995 0.5970 0.3976
Ho 0.9982 0.7981 0.1980
Ho 0.0018 0.2019 0.8020
Ho 0.5003 0.6993 0.7985
Tb 0.0000 0.0000 0.0000
La 0.4977 0.0998 0.3984
La 0.5023 0.9002 0.6016

For the spin magnetization, the calculation gives 0.00 Bohr magnetons per cell. As for the density: 8.2 g cm⁻³.



Computed stability ranking, most favorable first: *x*, *w*



*w*
## La3Tb5Ho4 (PBE-GGA)

Data for a relaxed La3Tb5Ho4 crystal.

Unit cell a=7.1801 b=11.3633 c=12.9702 alpha=151.27 beta=56.54 gamma=129.08
Element x y z (fractional)
Ho 0.8335 0.6664 0.8338
Ho 0.1665 0.3336 0.1662
Ho 0.0819 0.1628 0.3296
Ho 0.9182 0.8372 0.6704
Tb 0.7475 0.5019 0.0022
Tb 0.5000 0.0000 0.5000
Tb 0.2525 0.4981 0.9978
Tb 0.6668 0.3314 0.1643
Tb 0.3332 0.6686 0.8357
La 0.0000 0.0000 0.5000
La 0.5855 0.1682 0.3344
La 0.4145 0.8318 0.6656

For the spin magnetization, the calculation gives 0.00 Bohr magnetons per cell. As for the density: 7.9 g cm⁻³.



*x*
## La3Tb5Ho4 (PBE-GGA)

Data for a relaxed La3Tb5Ho4 crystal.

Unit cell a=5.7705 b=9.3958 c=9.7383 alpha=113.36 beta=72.77 gamma=72.12
Element x y z (fractional)
Ho 0.9408 0.2669 0.8515
Ho 0.8393 0.1246 0.1968
Ho 0.0592 0.7331 0.1485
Ho 0.1607 0.8754 0.8032
La 0.0000 0.5000 0.5000
La 0.4570 0.3586 0.7274
La 0.5430 0.6414 0.2726
Tb 0.7280 0.9333 0.6106
Tb 0.2720 0.0667 0.3894
Tb 0.5000 0.5000 0.5000
Tb 0.6535 0.7533 0.9396
Tb 0.3465 0.2467 0.0604

For the spin magnetization, the calculation gives 0.39 Bohr magnetons per cell. As for the density: 7.7 g cm⁻³.



Computed stability ranking, most favorable first: *w*, *x*



*w*
## LaTb3Ho5 (PBE-GGA)

Data for a relaxed LaTb3Ho5 crystal.

Unit cell a=9.1512 b=9.1512 c=11.9142 alpha=56.06 beta=56.06 gamma=56.92
Element x y z (fractional)
Ho 0.4454 0.4454 0.4003
Ho 0.0662 0.7049 0.8279
Ho 0.9338 0.2951 0.1721
Ho 0.5546 0.5546 0.5997
Ho 0.6517 0.6517 0.0299
Ho 0.7049 0.0662 0.8279
Ho 0.3185 0.6815 0.0000
Ho 0.2951 0.9338 0.1721
Ho 0.3483 0.3483 0.9701
Ho 0.6815 0.3185 0.0000
La 0.8575 0.8575 0.3568
La 0.1425 0.1425 0.6432
Tb 0.2554 0.2554 0.8079
Tb 0.0000 0.0000 0.0000
Tb 0.2753 0.2753 0.2900
Tb 0.7247 0.7247 0.7100
Tb 0.7446 0.7446 0.1921
Tb 0.0000 0.0000 0.5000

For the spin magnetization, the calculation gives 0.00 Bohr magnetons per cell. As for the density: 7.4 g cm⁻³.



*x*
## LaTb3Ho5 (PBE-GGA)

Data for a relaxed LaTb3Ho5 crystal.

Unit cell a=6.0357 b=10.0366 c=11.1774 alpha=111.33 beta=90.00 gamma=107.50
Element x y z (fractional)
La 0.8590 0.0000 0.7500
La 0.1410 0.0000 0.2500
Tb 0.0000 0.0000 0.0000
Tb 0.0000 0.0000 0.5000
Tb 0.0458 0.6463 0.1354
Tb 0.3995 0.3537 0.3646
Tb 0.9542 0.3537 0.8646
Tb 0.6005 0.6463 0.6354
Ho 0.9092 0.3302 0.1979
Ho 0.3736 0.0000 0.7500
Ho 0.0988 0.6621 0.4707
Ho 0.4367 0.3379 0.0293
Ho 0.5791 0.6698 0.3021
Ho 0.6264 0.0000 0.2500
Ho 0.9012 0.3379 0.5293
Ho 0.5633 0.6621 0.9707
Ho 0.0908 0.6698 0.8021
Ho 0.4209 0.3302 0.6979

For the spin magnetization, the calculation gives 0.00 Bohr magnetons per cell. As for the density: 8.0 g cm⁻³.



Computed stability ranking, most favorable first: *x*, *w*



*w*
## La4Tb2Ho (PBE-GGA)

Data for a relaxed La4Tb2Ho crystal.

Unit cell a=12.7574 b=12.7574 c=6.8918 alpha=97.00 beta=97.00 gamma=150.25
Element x y z (fractional)
Tb 0.9207 0.1045 0.0412
Tb 0.6293 0.3127 0.4575
Tb 0.1045 0.9207 0.5412
Tb 0.3127 0.6293 0.9575
La 0.5997 0.5613 0.6410
La 0.1440 0.0369 0.0942
La 0.1728 0.7106 0.3623
La 0.0369 0.1440 0.5942
La 0.5613 0.5997 0.1410
La 0.7978 0.1899 0.4055
La 0.7106 0.1728 0.8623
La 0.1899 0.7978 0.9055
Ho 0.4155 0.6656 0.4998
Ho 0.6656 0.4155 0.9998

For the spin magnetization, the calculation gives 0.00 Bohr magnetons per cell. As for the density: 7.0 g cm⁻³.



*x*
## La4Tb2Ho (PBE-GGA)

Data for a relaxed La4Tb2Ho crystal.

Unit cell a=6.9595 b=9.1155 c=9.1155 alpha=79.13 beta=67.56 gamma=67.56
Element x y z (fractional)
Tb 0.2850 0.9650 0.4650
Tb 0.7150 0.0350 0.5350
Tb 0.5000 0.5000 0.5000
Tb 0.5000 0.0000 0.0000
La 0.1516 0.8460 0.8509
La 0.7890 0.2425 0.7425
La 0.7741 0.7575 0.2575
La 0.1516 0.3509 0.3460
La 0.2259 0.2425 0.7425
La 0.8484 0.6491 0.6540
La 0.8484 0.1540 0.1491
La 0.2110 0.7575 0.2575
Ho 0.0000 0.5000 0.0000
Ho 0.5000 0.5000 0.0000

For the spin magnetization, the calculation gives 0.00 Bohr magnetons per cell. As for the density: 7.0 g cm⁻³.



Computed stability ranking, most favorable first: *w*, *x*